# V2SnHgO8 GGA+U optimized geometry
data_V2SnHgO8
_chemical_formula_sum 'V2 Sn1 Hg1 O8'
_space_group_name_H-M_alt 'P -3'
_space_group_IT_number 147
_space_group_name_Hall '-P 3'
_cell_length_a 5.7450
_cell_length_b 5.7450
_cell_length_c 6.3877
_cell_angle_alpha 90.00
_cell_angle_beta 90.00
_cell_angle_gamma 120.00
loop_
_atom_site_label
_atom_site_type_symbol
_atom_site_fract_x
_atom_site_fract_y
_atom_site_fract_z
V1 V 0.3333 0.6667 0.2856
Sn1 Sn 0.0000 0.0000 0.0000
Hg1 Hg 0.0000 0.0000 0.5000
O1 O 0.1595 0.3211 0.2058
O2 O 0.3333 0.6667 0.5409
# magnetization = 0.00 μB/cell
# uncorrected energy = -6.3619 eV/atom
# density of states at the Fermi level = 0.00 states/eV per atom